Entry from the Alexandria database: La2Nd4Sm2Er after structural relaxation (PBE).

```
La2Nd4Sm2Er
1.0
9.5828 -1.8510 0.0000
9.5828 1.8510 0.0000
-4.2394 0.0000 8.8626
La Nd Sm Er
2 4 2 1
direct
0.1649 0.1649 0.4993 La
0.8351 0.8351 0.5007 La
0.0185 0.0185 0.8317 Nd
0.3147 0.3147 0.1662 Nd
0.6853 0.6853 0.8338 Nd
0.9815 0.9815 0.1683 Nd
0.3526 0.3526 0.8332 Sm
0.6474 0.6474 0.1668 Sm
0.5000 0.5000 0.5000 Er
```

Results
Size of the total moment = 0.0 Bohr magnetons per cell
Theoretical density = 6.99 g/cm³
Electronic total energy = -4.759 eV per atom
Formation energy = 0.011 eV per atom